{"formula": "YCuAg", "functional": "PBE", "state": "optimized geometry", "polymorph_energy_mev_per_atom": 191.3, "formation_enthalpy_0k_mev_per_atom": -89, "lattice": [[6.453, 0.000, 0.000], [0.000, 6.453, 0.000], [0.000, 0.000, 6.453]], "species": ["Y", "Y", "Y", "Y", "Cu", "Cu", "Cu", "Cu", "Ag", "Ag", "Ag", "Ag"], "fractional_positions": [[0.000, 0.000, 0.000], [0.000, 0.500, 0.500], [0.500, 0.000, 0.500], [0.500, 0.500, 0.000], [0.250, 0.250, 0.250], [0.250, 0.750, 0.750], [0.750, 0.250, 0.750], [0.750, 0.750, 0.250], [0.000, 0.000, 0.500], [0.000, 0.500, 0.000], [0.500, 0.000, 0.000], [0.500, 0.500, 0.500]]}